1.
{"formula": "ScTcBr2", "functional": "SCAN", "state": "PBEsol geometry", "vol_a3_per_atom": 19.82, "density_g_cm3": 6.3, "e_tot_ev_per_atom": -22.05, "e_form_raw_kj_per_mol_atoms": 0.7, "e_above_lowest_polymorph_mev_per_atom": 74, "lattice_angstrom": [[3.539, 0.040, 0.000], [-0.174, 5.184, 0.000], [-1.682, -2.612, 4.321]], "species": ["Sc", "Tc", "Br", "Br"], "fractional_positions": [[0.000, 0.000, 0.000], [0.500, 0.500, 0.000], [0.500, 0.500, 0.500], [0.000, 0.000, 0.500]]}

2.
{"formula": "ScTcBr2", "functional": "SCAN", "state": "PBEsol geometry", "vol_a3_per_atom": 19.57, "density_g_cm3": 6.4, "e_tot_ev_per_atom": -22.12, "e_form_raw_kj_per_mol_atoms": -6.4, "e_above_lowest_polymorph_mev_per_atom": 0, "lattice_angstrom": [[-1.829, -0.563, -2.587], [-0.089, -2.943, -1.298], [-7.338, -3.254, 3.896]], "species": ["Tc", "Br", "Sc", "Br"], "fractional_positions": [[0.000, 0.000, 0.000], [0.094, 0.094, 0.719], [0.500, 0.500, 0.500], [0.906, 0.906, 0.281]]}

3.
{"formula": "Sc2TeBr", "functional": "SCAN", "state": "PBEsol geometry", "vol_a3_per_atom": 21.28, "density_g_cm3": 5.8, "e_tot_ev_per_atom": -22.18, "e_form_raw_kj_per_mol_atoms": -85.6, "e_above_lowest_polymorph_mev_per_atom": 80, "lattice_angstrom": [[-2.679, -1.978, 1.065], [1.629, -0.566, 3.042], [-3.082, 5.629, 2.697]], "species": ["Sc", "Br", "Te", "Sc"], "fractional_positions": [[0.000, 0.000, 0.260], [0.500, 0.500, 0.000], [0.500, 0.500, 0.500], [0.000, 0.000, 0.740]]}

4.
{"formula": "ScTeBr2", "functional": "SCAN", "state": "PBEsol geometry", "vol_a3_per_atom": 28.63, "density_g_cm3": 4.8, "e_tot_ev_per_atom": -23.72, "e_form_raw_kj_per_mol_atoms": -107.6, "e_above_lowest_polymorph_mev_per_atom": 7, "lattice_angstrom": [[3.354, 0.000, 0.000], [0.000, 5.704, -0.068], [-1.677, -2.780, 6.020]], "species": ["Br", "Sc", "Br", "Te"], "fractional_positions": [[0.670, 0.670, 0.340], [0.000, 0.500, 0.000], [0.330, 0.330, 0.660], [0.500, 0.000, 0.000]]}

5.
{"formula": "Sc2TeBr", "functional": "SCAN", "state": "PBEsol geometry", "vol_a3_per_atom": 23.41, "density_g_cm3": 5.3, "e_tot_ev_per_atom": -22.26, "e_form_raw_kj_per_mol_atoms": -93.3, "e_above_lowest_polymorph_mev_per_atom": 0, "lattice_angstrom": [[3.634, 0.000, 0.068], [0.000, 3.788, 0.000], [-0.187, 0.000, 6.798]], "species": ["Te", "Sc", "Sc", "Br"], "fractional_positions": [[0.500, 0.500, 0.000], [0.004, 0.000, 0.231], [0.996, 0.000, 0.769], [0.000, 0.500, 0.500]]}

6.
{"formula": "ScTeBr2", "functional": "SCAN", "state": "PBEsol geometry", "vol_a3_per_atom": 29.14, "density_g_cm3": 4.7, "e_tot_ev_per_atom": -23.72, "e_form_raw_kj_per_mol_atoms": -108.3, "e_above_lowest_polymorph_mev_per_atom": 0, "lattice_angstrom": [[-0.351, -2.272, 2.856], [4.200, -1.206, -0.443], [-0.075, 5.918, 4.699]], "species": ["Br", "Sc", "Te", "Br"], "fractional_positions": [[0.500, 0.591, 0.303], [0.000, 0.724, 0.571], [0.500, 0.283, 0.692], [0.000, 0.903, 0.934]]}